VASP calculation (GGA-PBEsol) on an optimized crystal structure of BaSi2Pt.

abc: 5.679 5.679 2.951
angles: 90.00 90.00 119.46
Element x y z (fractional)
1 Ba 0.000 0.000 0.000
2 Si 0.000 0.500 0.500
3 Si 0.500 0.000 0.500
4 Pt 0.500 0.500 0.000

## Properties
Raw formation energy, eV per atom: 0.352
D(E_F), states/eV/cell: 1.69
SG: No. 65

---

VASP calculation (GGA-PBEsol) on an optimized crystal structure of BaZnSn2Pt.

abc: 4.939 4.939 5.869
angles: 90.00 90.00 90.00
Element x y z (fractional)
1 Ba 0.000 0.000 0.000
2 Zn 0.000 0.000 0.500
3 Sn 0.000 0.500 0.500
4 Sn 0.500 0.000 0.500
5 Pt 0.500 0.500 0.000

## Properties
D(E_F), states/eV/cell: 2.06
E_form, eV/atom: 0.36
SG: No. 123

---

VASP calculation (GGA-PBEsol) on an optimized crystal structure of Ba2SrPt.

abc: 11.118 11.118 11.118
angles: 23.09 23.09 23.09
Element x y z (fractional)
1 Ba 0.219 0.219 0.219
2 Ba 0.781 0.781 0.781
3 Sr 0.000 0.000 0.000
4 Pt 0.500 0.500 0.500

## Properties
Energy above the most stable polymorph in this dataset, eV/atom: 0.040
D(E_F), states/eV/cell: 2.31
E_form, eV/atom: -0.37
SG: No. 166

---

VASP calculation (GGA-PBEsol) on an optimized crystal structure of Ba3SrPt.

abc: 6.239 6.239 6.239
angles: 90.00 90.00 90.00
Element x y z (fractional)
1 Ba 0.000 0.000 0.500
2 Ba 0.000 0.500 0.000
3 Ba 0.500 0.000 0.000
4 Sr 0.500 0.500 0.500
5 Pt 0.000 0.000 0.000

## Properties
D(E_F), states/eV/cell: 3.88
E_form, eV/atom: -0.33
SG: No. 221

---

Number 1: density 7.784 g/cm3. Number 2: density 7.368 g/cm3. Number 3: density 4.988 g/cm3. Number 4: density 4.749 g/cm3.